No. 1
Dy4InAg2Hg | PBE | relaxed Values from VASP.

Output
Symmetry: R-3m, No. 166

```
&SYSTEM
  ibrav = 0, nat = 8, ntyp = 4
/
ATOMIC_SPECIES
Dy 162.50 Dy.upf
Hg 200.59 Hg.upf
Ag 107.87 Ag.upf
In 114.82 In.upf
CELL_PARAMETERS angstrom
5.2269 0.0000 0.0000
2.6134 4.5266 0.0000
2.6134 1.5089 8.5260
ATOMIC_POSITIONS angstrom
Dy 5.2269 3.0177 7.4088
Dy 7.8403 4.5266 3.2458
Dy 5.2269 3.0177 1.1172
Dy 2.6134 1.5089 5.2803
Hg 5.2269 3.0177 4.2630
Ag 2.6134 1.5089 2.0617
Ag 7.8403 4.5266 6.4643
In 0.0000 0.0000 0.0000
```

***

No. 2
Dy4Ag2HgIr | PBE | relaxed Values from VASP.

Output
Symmetry: R-3m, No. 166

```
&SYSTEM
  ibrav = 0, nat = 8, ntyp = 4
/
ATOMIC_SPECIES
Ag 107.87 Ag.upf
Dy 162.50 Dy.upf
Hg 200.59 Hg.upf
Ir 192.22 Ir.upf
CELL_PARAMETERS angstrom
5.0965 0.0000 0.0000
2.5483 4.4137 0.0000
2.5483 1.4712 8.2749
ATOMIC_POSITIONS angstrom
Ag 7.6448 4.4137 6.3739
Ag 2.5483 1.4712 1.9010
Dy 2.5483 1.4712 5.0096
Dy 5.0965 2.9425 7.0218
Dy 5.0965 2.9425 1.2531
Dy 7.6448 4.4137 3.2653
Hg 0.0000 0.0000 0.0000
Ir 5.0965 2.9425 4.1375
```

***

No. 3
LaDyAgHg | PBE | relaxed Values from VASP.

Output
Energy above the most stable polymorph in this dataset (eV per atom): 0.011
Symmetry: F-43m, No. 216

```
&SYSTEM
  ibrav = 0, nat = 4, ntyp = 4
/
ATOMIC_SPECIES
Hg 200.59 Hg.upf
Ag 107.87 Ag.upf
La 138.91 La.upf
Dy 162.50 Dy.upf
CELL_PARAMETERS angstrom
-1.1080 5.0813 -1.2331
-5.0128 1.4320 -1.1785
-2.7851 3.0311 3.4093
ATOMIC_POSITIONS angstrom
Hg -2.2265 2.3861 0.2494
Ag -6.6795 7.1583 0.7483
La 0.0000 0.0000 0.0000
Dy -4.4530 4.7722 0.4989
```

***

No. 4
LaDyAgHg | PBE | relaxed Values from VASP.

Output
Energy above the most stable polymorph in this dataset (eV per atom): 0.000
Symmetry: P4mm, No. 99

```
&SYSTEM
  ibrav = 0, nat = 4, ntyp = 4
/
ATOMIC_SPECIES
Hg 200.59 Hg.upf
Ag 107.87 Ag.upf
La 138.91 La.upf
Dy 162.50 Dy.upf
CELL_PARAMETERS angstrom
3.7359 0.0000 0.0000
0.0000 3.7359 0.0000
0.0000 0.0000 7.6808
ATOMIC_POSITIONS angstrom
Hg 0.0000 0.0000 6.4068
Ag 0.0000 0.0000 2.9525
La 1.8680 1.8680 0.8481
Dy 1.8680 1.8680 4.6009
```

***

Formation energy? In order: -0.40; -0.53; -0.38; -0.39 eV/atom.
VASP energy? In order: -3.795; -4.692; -3.548; -3.559 eV per atom.